Crystalline CrSnIrO6 at its relaxed geometry, computed with PBE with a Hubbard U.

**VASP energy**: -6.909 eV per atom
**Total moment**: 0.12 μB/atom

Cell and atoms, written as POSCAR:
```
CrSnIrO6
1.0
4.6501 0.0000 0.0000
0.0000 4.6501 0.0000
0.0000 0.0000 9.5060
Cr Sn Ir O
2 2 2 12
direct
0.0000 0.0000 0.0000 Cr
0.5000 0.5000 0.5000 Cr
0.0000 0.0000 0.6686 Sn
0.5000 0.5000 0.1686 Sn
0.0000 0.0000 0.3349 Ir
0.5000 0.5000 0.8349 Ir
0.1846 0.1846 0.1679 O
0.1949 0.1949 0.4953 O
0.2009 0.2009 0.8390 O
0.2991 0.7009 0.3390 O
0.3051 0.6949 0.9953 O
0.3154 0.6846 0.6679 O
0.6846 0.3154 0.6679 O
0.6949 0.3051 0.9953 O
0.7009 0.2991 0.3390 O
0.7991 0.7991 0.8390 O
0.8051 0.8051 0.4953 O
0.8154 0.8154 0.1679 O
```